Record 1
Material: Tl2PPd
Method: DFT, GGA-PBE
State: optimized geometry

The value obtained for the offset from the most stable computed form is 0.0 meV per atom. The calculation puts the energy of formation at 0.294 eV per atom. For the mass density, the calculation gives 10.5 g cm⁻³. The density of states at the Fermi level is 1.3 states/eV/f.u. As for the total magnetic moment: 0.00 μB/cell. Its volume is 21.5 Å³ per atom.

It has space group Fm-3m (No. 225), with a = 7.0085 Å, b = 7.0085 Å, c = 7.0085 Å, α = 90.00°, β = 90.00° and γ = 90.00°. Symmetry generates all atoms from Tl at (0.2500, 0.2500, 0.2500), P at (0.0000, 0.0000, 0.0000) and Pd at (0.0000, 0.0000, 0.5000).



Record 2
Material: Tl2PPd2
Method: DFT, GGA-PBE
State: optimized geometry

The calculation puts the energy of formation at -0.054 eV per atom. For the mass density, the calculation gives 9.9 g cm⁻³. The density of states at the Fermi level is 3.2 states/eV/f.u. As for the total magnetic moment: 0.00 μB/cell. Its volume is 21.9 Å³ per atom.

It has space group P4/mbm (No. 127), with a = 6.2208 Å, b = 6.2208 Å, c = 5.6537 Å, α = 90.00°, β = 90.00° and γ = 90.00°. Symmetry generates all atoms from Tl at (0.1810, 0.3190, 0.0000), P at (0.0000, 0.0000, 0.5000) and Pd at (0.1659, 0.6659, 0.5000).